A relaxed NaLaGe2 crystal, computed with PBE.

Properties
**E above lowest polymorph**: 198 meV/atom
**ΔE_f**: -1.32 eV/f.u.

abc: 7.293 7.293 7.293
angles: 90.00 90.00 90.00
Sites, in units of the cell vectors:
Na  0.000  0.000  0.000
Na  0.000  0.500  0.500
Na  0.500  0.000  0.500
Na  0.500  0.500  0.000
La  0.000  0.000  0.500
La  0.000  0.500  0.000
La  0.500  0.000  0.000
La  0.500  0.500  0.500
Ge  0.250  0.250  0.250
Ge  0.250  0.250  0.750
Ge  0.250  0.750  0.250
Ge  0.250  0.750  0.750
Ge  0.750  0.250  0.250
Ge  0.750  0.250  0.750
Ge  0.750  0.750  0.250
Ge  0.750  0.750  0.750